Entry 1:
ZrHg3, optimized geometry, DFT PBE; calculated formation energy = 0.00 eV/atom; SG = Pmmn
1.0
-0.043 3.630 -5.047
-3.798 -2.265 -1.596
-3.598 3.989 2.900
Hg Zr
6 2
Direct
0.000 0.500 0.317
0.500 0.000 0.683
0.260 0.000 0.160
0.740 0.000 0.160
0.760 0.500 0.840
0.240 0.500 0.840
0.000 0.000 0.620
0.500 0.500 0.380



Entry 2:
Zr5Hg, optimized geometry, DFT PBE; calculated formation energy = -0.07 eV/atom; SG = Cmmm
1.0
-4.087 5.679 1.700
0.974 -7.033 1.197
2.714 0.948 3.360
Hg Zr
1 5
Direct
0.972 0.028 0.000
0.807 0.193 0.500
0.639 0.361 0.000
0.472 0.528 0.500
0.305 0.695 0.000
0.137 0.863 0.500



Entry 3:
Zr8Hg, optimized geometry, DFT PBE; calculated formation energy = -0.03 eV/atom; SG = I4/mmm
1.0
-0.044 -1.092 -4.185
6.785 0.472 -2.429
1.091 -6.044 3.800
Hg Zr
1 8
Direct
0.000 0.000 0.000
0.668 0.000 0.335
0.332 0.000 0.665
0.000 0.334 0.334
0.332 0.335 0.000
0.666 0.334 0.666
0.668 0.665 0.000
0.000 0.666 0.666
0.334 0.666 0.334



Entry 4:
ZrHg, optimized geometry, DFT PBE; calculated formation energy = 0.20 eV/atom; SG = P4_2/mnm
1.0
5.714 0.000 0.000
0.000 5.714 0.000
0.000 0.000 5.929
Zr Hg
4 4
Direct
0.812 0.188 0.000
0.312 0.312 0.500
0.688 0.688 0.500
0.188 0.812 0.000
0.688 0.688 0.000
0.188 0.812 0.500
0.812 0.188 0.500
0.312 0.312 0.000



Entry 5:
Zr3Hg, optimized geometry, DFT PBE; calculated formation energy = 0.00 eV/atom; SG = P2/m
1.0
-1.529 2.119 -1.630
-4.506 -1.540 2.223
0.486 4.038 3.782
Hg Zr
1 3
Direct
0.000 0.000 0.000
0.767 0.500 0.739
0.500 0.000 0.500
0.233 0.500 0.261



Entry 6:
ZrHg, optimized geometry, DFT PBE; calculated formation energy = -0.09 eV/atom; SG = Pmmn
1.0
3.384 0.000 0.000
0.000 4.123 0.000
0.000 0.000 6.360
Hg Zr
2 2
Direct
0.000 0.000 0.007
0.500 0.500 0.743
0.000 0.000 0.508
0.500 0.500 0.242



Entry 7:
ZrHg3, optimized geometry, DFT PBE; calculated formation energy = 0.01 eV/atom; SG = P2/m
1.0
-0.724 -2.715 1.214
3.426 0.549 3.272
-4.015 2.904 3.718
Hg Zr
3 1
Direct
0.272 0.000 0.984
0.228 0.000 0.516
0.250 0.500 0.250
0.750 0.500 0.750



Entry 8:
ZrHg, optimized geometry, DFT PBE; calculated formation energy = 0.09 eV/atom; SG = P6_3/m
1.0
-5.350 -0.227 -8.711
10.103 -1.565 -0.163
-0.473 -3.090 0.371
Zr Hg
6 6
Direct
0.461 0.861 0.250
0.600 0.461 0.750
0.139 0.600 0.250
0.539 0.139 0.750
0.400 0.539 0.250
0.861 0.400 0.750
0.799 0.113 0.250
0.686 0.799 0.750
0.887 0.686 0.250
0.201 0.887 0.750
0.314 0.201 0.250
0.113 0.314 0.750



Entry 9:
ZrHg, optimized geometry, DFT PBE; calculated formation energy = 1.01 eV/atom; SG = F-43m
1.0
4.516 0.000 0.000
2.258 3.911 0.000
2.258 1.304 3.687
Hg Zr
1 1
Direct
0.000 0.000 0.000
0.750 0.750 0.750



Entry 10:
Zr5Hg3, optimized geometry, DFT PBE; calculated formation energy = -0.10 eV/atom; SG = P6_3/mcm
1.0
-2.515 2.624 7.897
2.764 -4.233 7.072
4.323 3.295 0.282
Hg Zr
6 10
Direct
0.602 0.398 0.750
0.398 0.602 0.250
0.398 0.000 0.750
0.000 0.398 0.250
0.602 0.000 0.250
0.000 0.602 0.750
0.768 0.232 0.250
0.232 0.768 0.750
0.232 0.000 0.250
0.000 0.232 0.750
0.667 0.667 0.000
0.667 0.667 0.500
0.333 0.333 0.000
0.333 0.333 0.500
0.768 0.000 0.750
0.000 0.768 0.250



Entry 11:
Zr3Hg, optimized geometry, DFT PBE; calculated formation energy = -0.04 eV/atom; SG = C2/m
1.0
3.242 0.000 0.000
-1.621 5.384 -0.050
0.000 -1.330 5.165
Hg Zr
1 3
Direct
0.000 0.000 0.000
0.741 0.483 0.243
0.500 0.000 0.500
0.259 0.517 0.757



Entry 12:
ZrHg3, optimized geometry, DFT PBE; calculated formation energy = -0.02 eV/atom; SG = I4/mmm
1.0
4.521 0.000 0.000
0.000 4.521 0.000
-2.260 -2.260 8.634
Hg Zr
6 2
Direct
0.000 0.500 0.000
0.500 0.000 0.000
0.250 0.750 0.500
0.750 0.250 0.500
0.129 0.129 0.258
0.871 0.871 0.742
0.377 0.377 0.753
0.623 0.623 0.247



Entry 13:
Zr2Hg, optimized geometry, DFT PBE; calculated formation energy = -0.10 eV/atom; SG = I4_1/amd
1.0
-11.455 1.521 8.342
-6.975 0.341 12.424
9.792 2.092 -10.142
Hg Zr
4 8
Direct
0.918 0.918 0.000
0.082 0.082 0.000
0.168 0.668 0.500
0.332 0.832 0.500
0.744 0.744 0.000
0.256 0.256 0.000
0.994 0.494 0.500
0.506 0.006 0.500
0.585 0.585 0.000
0.415 0.415 0.000
0.835 0.335 0.500
0.665 0.165 0.500



Entry 14:
Zr2Hg, optimized geometry, DFT PBE; calculated formation energy = 0.33 eV/atom; SG = Fm-3m
1.0
-4.029 -0.544 2.490
2.270 -2.887 3.042
1.697 4.370 -0.856
Zr Hg
2 1
Direct
0.750 0.250 0.500
0.250 0.750 0.500
0.000 0.000 0.000



Entry 15:
Zr2Hg3, optimized geometry, DFT PBE; calculated formation energy = -0.01 eV/atom; SG = Cmcm
1.0
-0.014 1.140 -5.012
-4.579 -2.574 -0.573
-1.748 8.120 1.853
Zr Hg
4 6
Direct
0.750 0.703 0.803
0.250 0.297 0.197
0.750 0.900 0.197
0.250 0.100 0.803
0.250 0.904 0.399
0.750 0.096 0.601
0.750 0.495 0.399
0.250 0.505 0.601
0.750 0.299 0.000
0.250 0.701 0.000



Entry 16:
Zr3Hg, optimized geometry, DFT PBE; calculated formation energy = -0.12 eV/atom; SG = I4/mmm
1.0
-2.471 -0.992 -3.458
1.040 -4.213 0.465
-2.946 2.006 4.284
Hg Zr
1 3
Direct
0.000 0.000 0.000
0.750 0.250 0.500
0.250 0.750 0.500
0.500 0.500 0.000



Entry 17:
ZrHg, optimized geometry, DFT PBE; calculated formation energy = -0.05 eV/atom; SG = P-3m1
1.0
-0.285 3.276 -0.329
-0.515 -1.416 2.941
9.546 1.050 2.176
Hg Zr
2 2
Direct
0.000 0.000 0.997
0.333 0.667 0.253
0.000 0.000 0.501
0.333 0.667 0.749



Entry 18:
Zr3Hg, optimized geometry, DFT PBE; calculated formation energy = 0.02 eV/atom; SG = Fm-3m
1.0
4.987 0.000 0.000
2.494 4.319 0.000
2.494 1.440 4.072
Hg Zr
1 3
Direct
0.000 0.000 0.000
0.750 0.750 0.750
0.500 0.500 0.500
0.250 0.250 0.250



Entry 19:
ZrHg4, optimized geometry, DFT PBE; calculated formation energy = 0.50 eV/atom; SG = Pm-3m
1.0
5.762 0.000 0.000
0.000 5.762 0.000
0.000 0.000 5.762
Hg Zr
4 1
Direct
0.000 0.000 0.000
0.500 0.000 0.500
0.000 0.500 0.500
0.500 0.500 0.000
0.500 0.500 0.500



Entry 20:
ZrHg4, optimized geometry, DFT PBE; calculated formation energy = 0.03 eV/atom; SG = I4/mmm
1.0
-2.770 1.833 0.266
-1.529 -2.533 1.532
5.402 3.934 8.271
Zr Hg
1 4
Direct
0.000 0.000 0.000
0.595 0.595 0.190
0.198 0.198 0.396
0.802 0.802 0.604
0.405 0.405 0.810



Calculated total energy list, top to bottom, in eV per atom: -2.359; -7.240; -7.666; -4.227; -6.487; -4.520; -2.351; -4.331; -3.411; -5.558; -6.529; -2.382; -5.896; -5.474; -3.612; -6.608; -4.470; -6.470; -1.447; -1.925